Record 1
The following is a DFT calculation (PBE-GGA) of a relaxed structure of CeSbH2.

POSCAR file:
```
CeSbH2
1.0
3.765 0.000 0.000
1.882 3.260 0.000
1.882 1.087 5.191
Sb Ce H
1 1 2
Cartesian
3.765 2.174 2.595
0.000 0.000 0.000
5.647 3.260 4.743
1.882 1.087 0.448
```

M_tot = 0.2 μB/f.u.
energy relative to the lowest polymorph listed for this composition = 0.000 eV/atom
uncorrected energy = -4.661 eV/atom

Record 2
The following is a DFT calculation (PBE-GGA) of a relaxed structure of Tm2InPd4.

POSCAR file:
```
Tm2InPd4
1.0
6.969 -0.834 -0.147
-1.286 6.903 0.119
-2.775 -3.160 5.920
Tm In Pd
4 2 8
Cartesian
1.171 -0.083 3.624
3.411 4.338 1.957
3.411 0.693 0.635
-2.121 0.950 4.983
-0.799 3.552 3.370
0.189 -0.182 0.343
-1.305 1.094 2.300
1.119 2.317 1.452
3.204 1.998 3.437
2.963 -2.288 4.305
0.770 5.132 1.694
-1.170 -1.619 4.588
0.650 2.089 5.222
5.349 2.857 0.457
```

M_tot = 0.0 μB/f.u.
energy relative to the lowest polymorph listed for this composition = 0.000 eV/atom
uncorrected energy = -5.384 eV/atom
calculated formation energy = -0.748 eV/atom